Entry from Alexandria via LeMat-Bulk: a geometry-optimized HgPO structure (PBE-GGA).

It has space group P1 (No. 1), with a = 4.1899 Å, b = 4.7798 Å, c = 7.2360 Å, α = 83.67°, β = 82.78° and γ = 66.80°. The distinct sites, in fractional coordinates, are Hg at (0.0000, 0.0000, 0.0000), Hg at (0.2485, 0.6408, 0.7070), P at (0.4159, 0.2023, 0.4939), P at (0.7420, 0.3564, 0.2656), O at (0.0264, 0.3020, 0.4144) and O at (0.5843, 0.6890, 0.1935).

The uncorrected formation energy comes out at -0.645 eV/atom. As for the spin magnetization: 0.0 μB per formula unit. The value obtained for the total energy is -25.2 eV/cell.